VASP calculation (PBE-GGA) on a relaxed Cs2NbCu2O6 crystal.

Lattice parameters (Å, degrees): 5.9758 5.9758 7.2386 65.62 65.62 60.00
Last column: magnetic moment on the atom in μB.
Fractional positions:
Cs (0.7866, 0.7866, 0.6402)  0.00
Cs (0.2134, 0.2134, 0.3598)  0.00
Nb (0.0000, 0.0000, 0.0000)  -0.06
Cu (0.3955, 0.3955, 0.8134)  0.65
Cu (0.6045, 0.6045, 0.1866)  0.65
O (0.7798, 0.7798, 0.1894)  0.27
O (0.2509, 0.7798, 0.1894)  0.27
O (0.7798, 0.2509, 0.1894)  0.27
O (0.2202, 0.7491, 0.8106)  0.27
O (0.7491, 0.2202, 0.8106)  0.27
O (0.2202, 0.2202, 0.8106)  0.27

## Properties
Raw total energy (hartree per atom): -0.2185
ΔE_f (raw) (meV per atom): -1426
SG: No. 166
Volume (Å³ per cell): 196.8
DOS(E_F) (states/eV/cell): 3.27